{
  "formula": "UReTcSn",
  "functional": "PBE",
  "state": "optimized geometry",
  "lattice": [[0.000, 3.335, 3.335], [3.335, 0.000, 3.335], [3.335, 3.335, 0.000]],
  "species": ["U", "Re", "Tc", "Sn"],
  "frac_coords": [[0.000, 0.000, 0.000], [0.250, 0.250, 0.250], [0.750, 0.750, 0.750], [0.500, 0.500, 0.500]],
  "space_group": "F-43m (216)",
  "n_ef_per_ev_fu": 5.15,
  "total_energy_ev_per_atom": -9.4107,
  "magmom_total_mub_per_atom": 0.17
}